PBE-GGA Mg, optimized geometry; magnetization = 0.000 μB/f.u.; SG = Cmcm; energy above the lowest structure with this stoichiometry = 0.004 eV per formula unit
1.0
3.303 0.000 0.000
0.000 5.391 0.000
0.000 0.000 15.542
Mg
12
direct
0.000 0.529 0.250 Mg
0.000 0.173 0.084 Mg
0.500 0.673 0.416 Mg
0.000 0.173 0.416 Mg
0.500 0.673 0.084 Mg
0.000 0.827 0.916 Mg
0.000 0.471 0.750 Mg
0.500 0.327 0.916 Mg
0.000 0.827 0.584 Mg
0.500 0.971 0.750 Mg
0.500 0.029 0.250 Mg
0.500 0.327 0.584 Mg